Run 1
## HfZn2Pd2 (PBE-GGA)

Data for a relaxed structure of HfZn2Pd2.

The structure in CIF format:
```
data_HfZn2Pd2
_cell_length_a 7.4338
_cell_length_b 7.4338
_cell_length_c 2.8865
_cell_angle_alpha 90.00
_cell_angle_beta 90.00
_cell_angle_gamma 90.00
_space_group_name_H-M_alt 'P 4/m b m'
_space_group_IT_number 127
_space_group_name_Hall '-P 4 2ab'
loop_
_atom_site_label
_atom_site_type_symbol
_atom_site_fract_x
_atom_site_fract_y
_atom_site_fract_z
Hf1 Hf 0.0000 0.0000 0.0000
Zn1 Zn 0.1184 0.3816 0.0000
Pd1 Pd 0.1805 0.6805 0.5000
```



Run 2
## HfZn2Pd2 (PBE-GGA)

Data for a relaxed structure of HfZn2Pd2.

The structure in CIF format:
```
data_HfZn2Pd2
_cell_length_a 14.2651
_cell_length_b 3.9464
_cell_length_c 2.9440
_cell_angle_alpha 90.00
_cell_angle_beta 101.70
_cell_angle_gamma 90.00
_space_group_name_H-M_alt 'C 1 2/m 1'
_space_group_IT_number 12
_space_group_name_Hall '-C 2y'
loop_
_atom_site_label
_atom_site_type_symbol
_atom_site_fract_x
_atom_site_fract_y
_atom_site_fract_z
Hf1 Hf 0.0000 0.0000 0.0000
Zn1 Zn 0.1148 0.5000 0.6135
Pd1 Pd 0.1910 0.0000 0.1899
```



Which structure is the least stable? The one labeled run 2.